CePr4Ho3S8: optimized geometry, PBE.

Values from the calculation:
**DOS(E_F)**: 0.624 states/eV/atom
**Raw formation energy**: -2011.4 meV/atom
**E_tot**: -104.0 eV for the cell shown
**Symmetry**: R-3m (166)

abc: 7.9859 8.0664 7.9861
angles: 119.67 120.00 90.00
Last column: magnetic moment on the atom in μB.
Element x y z (fractional)
Ce (0.0000, 0.5000, 0.0000)  0.22
Pr (0.5000, 0.0000, 0.0000)  0.00
Pr (0.5000, 0.0000, 0.5000)  0.00
Pr (0.0000, 0.0000, 0.0000)  0.00
Pr (0.0000, 0.0000, 0.5000)  0.00
Ho (0.5000, 0.5000, 0.0000)  0.01
Ho (0.5000, 0.5000, 0.5000)  0.01
Ho (0.0000, 0.5000, 0.5000)  0.01
S (0.2470, 0.7330, 0.9861)  0.00
S (0.2470, 0.7330, 0.4939)  0.00
S (0.2570, 0.2708, 0.5139)  0.00
S (0.7391, 0.7330, 0.9861)  0.00
S (0.2609, 0.2670, 0.0139)  0.00
S (0.7430, 0.7292, 0.4861)  0.00
S (0.7530, 0.2670, 0.5061)  0.00
S (0.7530, 0.2670, 0.0139)  0.00